This record from Alexandria describes a geometry-optimized CoReOs2 structure. The functional is PBEsol.

a b c (Å): 3.782 3.782 4.563
angles (deg): 114.48 114.48 90.00
Element x y z (fractional)
1 Co 0.000 0.000 0.000
2 Os 0.750 0.250 0.500
3 Os 0.250 0.750 0.500
4 Re 0.500 0.500 0.000

Results
- spin magnetization (μB/cell) = 0.0
- space-group type = No. 139
- crystal system = tetragonal
- polymorph energy (0 for the lowest one) (meV/atom) = 0
- E_form (kJ/mol of atoms) = 8.0